Below is an optimized crystal structure of CrNiSb2Os, with properties calculated at the PBE-GGA level.

calculated volume = 117.7 Å³/cell
formation energy (no corrections) = 1.50 eV per atom

Geometry as CIF:
```
data_CrNiSb2Os
_chemical_formula_sum 'Cr1 Ni1 Sb2 Os1'
_space_group_name_H-M_alt 'P 4/m m m'
_space_group_IT_number 123
_space_group_name_Hall '-P 4 2'
_cell_length_a 5.050
_cell_length_b 5.050
_cell_length_c 4.615
_cell_angle_alpha 90.00
_cell_angle_beta 90.00
_cell_angle_gamma 90.00
loop_
_atom_site_label
_atom_site_fract_x
_atom_site_fract_y
_atom_site_fract_z
Cr1 0.000 0.000 0.000
Ni1 0.500 0.500 0.000
Sb1 0.000 0.500 0.500
Os1 0.500 0.500 0.500
```